(w)
{
  "formula": "TaTlCd2",
  "functional": "SCAN",
  "state": "PBEsol geometry",
  "cell": [[4.887, 0.000, 0.000], [2.444, 4.232, 0.000], [2.444, 1.411, 3.990]],
  "species": ["Cd", "Cd", "Tl", "Ta"],
  "frac_coords": [[0.750, 0.750, 0.750], [0.000, 0.000, 0.000], [0.250, 0.250, 0.250], [0.500, 0.500, 0.500]]
}

***

(x)
{
  "formula": "TaTlCd2",
  "functional": "SCAN",
  "state": "PBEsol geometry",
  "cell": [[-1.830, -2.854, -2.406], [1.486, -3.015, 2.446], [-3.659, 3.177, 2.607]],
  "species": ["Cd", "Cd", "Tl", "Ta"],
  "frac_coords": [[0.000, 0.000, 0.000], [0.750, 0.250, 0.500], [0.250, 0.750, 0.500], [0.500, 0.500, 0.000]]
}

***

(y)
{
  "formula": "TaTlCd2",
  "functional": "SCAN",
  "state": "PBEsol geometry",
  "cell": [[-2.733, -1.065, -0.621], [0.087, -2.641, 4.150], [-2.280, 4.245, 2.750]],
  "species": ["Cd", "Cd", "Ta", "Tl"],
  "frac_coords": [[0.000, 0.500, 0.711], [0.000, 0.000, 0.019], [0.500, 0.000, 0.531], [0.500, 0.500, 0.240]]
}

***

(z)
{
  "formula": "TaTlCd2",
  "functional": "SCAN",
  "state": "PBEsol geometry",
  "cell": [[-2.317, 0.356, -1.837], [1.213, -4.620, -2.425], [-2.488, -0.419, 5.471]],
  "species": ["Cd", "Cd", "Ta", "Tl"],
  "frac_coords": [[0.005, 0.005, 0.010], [0.753, 0.253, 0.506], [0.495, 0.495, 0.991], [0.246, 0.746, 0.492]]
}

***

Which of them is the least stable? Correct choice: (w).